# 1
Below is a geometry-optimized Rb5As2S6 structure, with properties calculated at the GGA-PBE level.

Unit cell a=4.9898 b=12.8405 c=14.5160 alpha=90.00 beta=105.10 gamma=90.00
Fractional positions:
Rb 0.0000 0.0000 0.0000
Rb 0.0000 0.5000 0.5000
Rb 0.0313 0.0710 0.2709
Rb 0.0313 0.4290 0.7709
Rb 0.1989 0.6822 0.9903
Rb 0.1989 0.8178 0.4903
Rb 0.8011 0.1822 0.5097
Rb 0.8011 0.3178 0.0097
Rb 0.9687 0.5710 0.2291
Rb 0.9687 0.9290 0.7291
As 0.4620 0.1841 0.7205
As 0.4620 0.3159 0.2205
As 0.5380 0.6841 0.7795
As 0.5380 0.8159 0.2795
S 0.0906 0.6759 0.6928
S 0.0906 0.8241 0.1928
S 0.3854 0.0529 0.6149
S 0.3854 0.4471 0.1149
S 0.4268 0.1719 0.1276
S 0.4268 0.3281 0.6276
S 0.5732 0.6719 0.3724
S 0.5732 0.8281 0.8724
S 0.6146 0.5529 0.8851
S 0.6146 0.9471 0.3851
S 0.9094 0.1759 0.8072
S 0.9094 0.3241 0.3072

Calculated values
Space-group type: No. 14

# 2
Below is a geometry-optimized Rb2AsS structure, with properties calculated at the GGA-PBE level.

Unit cell a=5.8282 b=5.8282 c=5.8282 alpha=60.00 beta=60.00 gamma=60.00
Fractional positions:
Rb 0.2500 0.2500 0.2500
Rb 0.7500 0.7500 0.7500
As 0.0000 0.0000 0.0000
S 0.5000 0.5000 0.5000

Calculated values
Space-group type: No. 225
E above lowest polymorph (meV per atom): 247

# 3
Below is a geometry-optimized Rb8AsS2 structure, with properties calculated at the GGA-PBE level.

Unit cell a=12.5162 b=12.5162 c=9.9780 alpha=113.46 beta=113.46 gamma=21.91
Fractional positions:
Rb 0.0001 0.0001 0.2415
Rb 0.9999 0.9999 0.7585
Rb 0.1302 0.1302 0.6303
Rb 0.3126 0.3126 0.6300
Rb 0.3126 0.3126 0.9951
Rb 0.6874 0.6874 0.0049
Rb 0.6874 0.6874 0.3700
Rb 0.8698 0.8698 0.3697
As 0.5000 0.5000 0.5000
S 0.2543 0.2543 0.2542
S 0.7457 0.7457 0.7458

Calculated values
Space-group type: No. 12

# 4
Below is a geometry-optimized Rb4AsS5 structure, with properties calculated at the GGA-PBE level.

Unit cell a=7.9982 b=7.9982 c=7.9982 alpha=100.12 beta=100.12 gamma=130.44
Fractional positions:
Rb 0.1057 0.2877 0.3934
Rb 0.2877 0.8943 0.1820
Rb 0.7123 0.1057 0.8180
Rb 0.8943 0.7123 0.6066
As 0.5759 0.5759 0.0000
S 0.2809 0.5568 0.8485
S 0.4324 0.2809 0.7241
S 0.5568 0.7082 0.2759
S 0.7082 0.4324 0.1515
S 0.9044 0.9044 0.0000

Calculated values
Space-group type: No. 79

# 5
Below is a geometry-optimized RbAsS2 structure, with properties calculated at the GGA-PBE level.

Unit cell a=6.6909 b=6.6909 c=5.4142 alpha=96.33 beta=96.33 gamma=32.17
Fractional positions:
Rb 0.0000 0.0000 0.0000
As 0.2777 0.2777 0.4111
S 0.4461 0.4461 0.4820
S 0.7402 0.7402 0.1191

Calculated values
Space-group type: No. 8

# 6
Below is a geometry-optimized RbAs3S structure, with properties calculated at the GGA-PBE level.

Unit cell a=5.0682 b=5.0682 c=5.0682 alpha=90.00 beta=90.00 gamma=90.00
Fractional positions:
Rb 0.0000 0.0000 0.0000
As 0.0000 0.5000 0.5000
As 0.5000 0.0000 0.5000
As 0.5000 0.5000 0.0000
S 0.5000 0.5000 0.5000

Calculated values
Space-group type: No. 221
E above lowest polymorph (meV per atom): 0

# 7
Below is a geometry-optimized RbAsS2 structure, with properties calculated at the GGA-PBE level.

Unit cell a=5.2355 b=5.4470 c=9.6390 alpha=76.54 beta=89.96 gamma=89.94
Fractional positions:
Rb 0.0000 0.0000 0.0000
Rb 0.4996 0.3229 0.3639
As 0.4310 0.4818 0.8010
As 0.9306 0.8407 0.5633
S 0.0755 0.7981 0.3565
S 0.2929 0.8873 0.6997
S 0.5763 0.5258 0.0074
S 0.7933 0.4349 0.6643

Calculated values
Space-group type: No. 1

# 8
Below is a geometry-optimized Rb2AsS structure, with properties calculated at the GGA-PBE level.

Unit cell a=9.0926 b=9.0926 c=9.0926 alpha=94.40 beta=94.40 gamma=147.83
Fractional positions:
Rb 0.3750 0.0815 0.2065
Rb 0.8315 0.6250 0.7065
Rb 0.8750 0.1685 0.7935
Rb 0.9185 0.1250 0.2935
As 0.2500 0.7500 0.5000
As 0.5000 0.5000 0.0000
S 0.0000 0.0000 0.0000
S 0.7500 0.2500 0.5000

Calculated values
Space-group type: No. 122
E above lowest polymorph (meV per atom): 0

# 9
Below is a geometry-optimized Rb2As2S structure, with properties calculated at the GGA-PBE level.

Unit cell a=6.0991 b=6.0991 c=6.0991 alpha=111.58 beta=111.58 gamma=105.32
Fractional positions:
Rb 0.2500 0.7500 0.5000
Rb 0.7500 0.2500 0.5000
As 0.1623 0.1623 0.0000
As 0.8377 0.8377 0.0000
S 0.5000 0.5000 0.0000

Calculated values
Space-group type: No. 139

# 10
Below is a geometry-optimized RbAs2S4 structure, with properties calculated at the GGA-PBE level.

Unit cell a=6.4928 b=6.4928 c=13.8328 alpha=90.00 beta=90.00 gamma=146.58
Fractional positions:
Rb 0.0947 0.9053 0.7500
Rb 0.9053 0.0947 0.2500
As 0.3588 0.6412 0.5645
As 0.3588 0.6412 0.9355
As 0.6412 0.3588 0.0645
As 0.6412 0.3588 0.4355
S 0.0000 0.0000 0.0000
S 0.0000 0.0000 0.5000
S 0.2704 0.7296 0.0960
S 0.2704 0.7296 0.4040
S 0.3827 0.6173 0.7500
S 0.6173 0.3827 0.2500
S 0.7296 0.2704 0.5960
S 0.7296 0.2704 0.9040

Calculated values
Space-group type: No. 63

# 11
Below is a geometry-optimized Rb2ScAs2S6 structure, with properties calculated at the GGA-PBE level.

Unit cell a=6.8830 b=6.8830 c=8.2768 alpha=113.39 beta=113.39 gamma=61.36
Fractional positions:
Rb 0.2042 0.2042 0.1808
Rb 0.7958 0.7958 0.8192
Sc 0.0000 0.0000 0.5000
As 0.4443 0.4443 0.8002
As 0.5557 0.5557 0.1998
S 0.1990 0.7161 0.2334
S 0.2381 0.2381 0.5973
S 0.2839 0.8010 0.7666
S 0.7161 0.1990 0.2334
S 0.7619 0.7619 0.4027
S 0.8010 0.2839 0.7666

Calculated values
Space-group type: No. 12

# 12
Below is a geometry-optimized Rb2ScAsS4 structure, with properties calculated at the GGA-PBE level.

Unit cell a=13.8728 b=12.3753 c=7.7604 alpha=83.75 beta=62.47 gamma=33.78
Fractional positions:
Rb 0.0553 0.0553 0.6947
Rb 0.3053 0.3053 0.9447
Rb 0.6947 0.6947 0.0553
Rb 0.9447 0.9447 0.3053
Sc 0.1250 0.1250 0.1250
Sc 0.8750 0.8750 0.8750
As 0.3750 0.3750 0.3750
As 0.6250 0.6250 0.6250
S 0.0284 0.3252 0.4143
S 0.2678 0.5857 0.6748
S 0.3252 0.0284 0.7322
S 0.4143 0.7322 0.0284
S 0.5857 0.2678 0.9716
S 0.6748 0.9716 0.2678
S 0.7322 0.4143 0.3252
S 0.9716 0.6748 0.5857

Calculated values
Space-group type: No. 70

# 13
Below is a geometry-optimized RbAs2SeS structure, with properties calculated at the GGA-PBE level.

Unit cell a=7.2772 b=7.2772 c=6.7139 alpha=90.00 beta=90.00 gamma=90.00
Fractional positions:
Rb 0.0000 0.0000 0.0000
As 0.0000 0.5000 0.0000
As 0.5000 0.0000 0.0000
Se 0.0000 0.0000 0.5000
S 0.5000 0.5000 0.5000

Calculated values
Space-group type: No. 123
E above lowest polymorph (meV per atom): 1414

# 14
Below is a geometry-optimized RbAs2SeS structure, with properties calculated at the GGA-PBE level.

Unit cell a=5.0427 b=5.0427 c=5.2162 alpha=90.00 beta=90.00 gamma=90.00
Fractional positions:
Rb 0.0000 0.0000 0.0000
As 0.0000 0.5000 0.5000
As 0.5000 0.0000 0.5000
Se 0.5000 0.5000 0.0000
S 0.5000 0.5000 0.5000

Calculated values
Space-group type: No. 123
E above lowest polymorph (meV per atom): 0

# 15
Below is a geometry-optimized RbSiAsS4 structure, with properties calculated at the GGA-PBE level.

Unit cell a=7.9750 b=6.5862 c=8.7306 alpha=90.00 beta=110.07 gamma=90.00
Fractional positions:
Rb 0.2328 0.2500 0.4889
Rb 0.7672 0.7500 0.5111
Si 0.2087 0.7500 0.1752
Si 0.7913 0.2500 0.8248
As 0.2288 0.2500 0.0230
As 0.7712 0.7500 0.9770
S 0.0332 0.7500 0.9212
S 0.0877 0.7500 0.3474
S 0.3948 0.0009 0.2007
S 0.3948 0.4991 0.2007
S 0.6052 0.5009 0.7993
S 0.6052 0.9991 0.7993
S 0.9123 0.2500 0.6526
S 0.9668 0.2500 0.0788

Calculated values
Space-group type: No. 11

# 16
Below is a geometry-optimized Rb2SmAsS4 structure, with properties calculated at the GGA-PBE level.

Unit cell a=14.2756 b=12.7450 c=8.0178 alpha=83.56 beta=62.52 gamma=33.92
Fractional positions:
Rb 0.0601 0.0601 0.6899
Rb 0.3101 0.3101 0.9399
Rb 0.6899 0.6899 0.0601
Rb 0.9399 0.9399 0.3101
Sm 0.1250 0.1250 0.1250
Sm 0.8750 0.8750 0.8750
As 0.3750 0.3750 0.3750
As 0.6250 0.6250 0.6250
S 0.0098 0.3425 0.4394
S 0.2916 0.5606 0.6575
S 0.3425 0.0098 0.7084
S 0.4394 0.7084 0.0098
S 0.5606 0.2916 0.9902
S 0.6575 0.9902 0.2916
S 0.7084 0.4394 0.3425
S 0.9902 0.6575 0.5606

Calculated values
Space-group type: No. 70

# 17
Below is a geometry-optimized Rb2Sn2AsS2 structure, with properties calculated at the GGA-PBE level.

Unit cell a=5.1023 b=7.2053 c=7.9143 alpha=106.18 beta=108.78 gamma=90.29
Fractional positions:
Rb 0.1215 0.3046 0.2388
Rb 0.8785 0.6954 0.7612
Sn 0.3492 0.1164 0.6963
Sn 0.6508 0.8836 0.3037
As 0.5000 0.0000 0.0000
S 0.2074 0.7947 0.4181
S 0.7926 0.2053 0.5819

Calculated values
Space-group type: No. 2

# 18
Below is a geometry-optimized Rb2SrAs2S6 structure, with properties calculated at the GGA-PBE level.

Unit cell a=7.3079 b=7.3079 c=8.5860 alpha=116.80 beta=116.80 gamma=59.73
Fractional positions:
Rb 0.2119 0.2119 0.2115
Rb 0.7881 0.7881 0.7885
Sr 0.0000 0.0000 0.5000
As 0.4705 0.4705 0.8311
As 0.5295 0.5295 0.1689
S 0.1940 0.6899 0.1891
S 0.2718 0.2718 0.6541
S 0.3101 0.8060 0.8109
S 0.6899 0.1940 0.1891
S 0.7282 0.7282 0.3459
S 0.8060 0.3101 0.8109

Calculated values
Space-group type: No. 12

# 19
Below is a geometry-optimized RbSrAsS4 structure, with properties calculated at the GGA-PBE level.

Unit cell a=6.9343 b=6.8656 c=9.2247 alpha=90.00 beta=106.74 gamma=90.00
Fractional positions:
Rb 0.2339 0.2500 0.4361
Rb 0.7661 0.7500 0.5639
Sr 0.2635 0.2500 0.9492
Sr 0.7365 0.7500 0.0508
As 0.2902 0.7500 0.1821
As 0.7098 0.2500 0.8179
S 0.0966 0.7500 0.3314
S 0.1142 0.7500 0.9433
S 0.4936 0.0015 0.2235
S 0.4936 0.4985 0.2235
S 0.5064 0.5015 0.7765
S 0.5064 0.9985 0.7765
S 0.8858 0.2500 0.0567
S 0.9034 0.2500 0.6686

Calculated values
Space-group type: No. 11

# 20
Below is a geometry-optimized Rb2TbAsS4 structure, with properties calculated at the GGA-PBE level.

Unit cell a=14.1865 b=12.6555 c=7.9670 alpha=83.63 beta=62.45 gamma=33.93
Fractional positions:
Rb 0.0586 0.0586 0.6914
Rb 0.3086 0.3086 0.9414
Rb 0.6914 0.6914 0.0586
Rb 0.9414 0.9414 0.3086
Tb 0.1250 0.1250 0.1250
Tb 0.8750 0.8750 0.8750
As 0.3750 0.3750 0.3750
As 0.6250 0.6250 0.6250
S 0.0147 0.3384 0.4331
S 0.2861 0.5669 0.6616
S 0.3384 0.0147 0.7139
S 0.4331 0.7139 0.0147
S 0.5669 0.2861 0.9853
S 0.6616 0.9853 0.2861
S 0.7139 0.4331 0.3384
S 0.9853 0.6616 0.5669

Calculated values
Space-group type: No. 70

# 21
Below is a geometry-optimized RbTb2As2S6 structure, with properties calculated at the GGA-PBE level.

Unit cell a=7.3762 b=7.5896 c=7.9972 alpha=88.55 beta=63.11 gamma=61.69
Fractional positions:
Rb 0.0000 0.0000 0.0000
Tb 0.3687 0.3048 0.9713
Tb 0.6313 0.6952 0.0287
As 0.0124 0.6547 0.4353
As 0.9876 0.3453 0.5647
S 0.0845 0.3602 0.8024
S 0.2537 0.0751 0.2175
S 0.4232 0.4716 0.2404
S 0.5768 0.5284 0.7596
S 0.7463 0.9249 0.7825
S 0.9155 0.6398 0.1976

Calculated values
Space-group type: No. 2

# 22
Below is a geometry-optimized Rb2TbAs2S6 structure, with properties calculated at the GGA-PBE level.

Unit cell a=7.0271 b=7.0271 c=8.5026 alpha=113.97 beta=113.97 gamma=61.20
Fractional positions:
Rb 0.2042 0.2042 0.1840
Rb 0.7958 0.7958 0.8160
Tb 0.0000 0.0000 0.5000
As 0.4498 0.4498 0.8074
As 0.5502 0.5502 0.1926
S 0.1995 0.7065 0.2216
S 0.2479 0.2479 0.6017
S 0.2935 0.8005 0.7784
S 0.7065 0.1995 0.2216
S 0.7521 0.7521 0.3983
S 0.8005 0.2935 0.7784

Calculated values
Space-group type: No. 12

What did we get for energy relative to the elements, uncorrected? Answer: -0.8230; -0.1136; -0.5451; -0.6387; -0.5801; 0.4328; -0.6411; -0.3601; -0.2316; -0.2025; -0.7715; -1.0347; 1.7007; 0.2869; -0.6665; -0.9674; -0.5024; -0.8043; -1.0216; -0.9945; -1.0298; -0.8308 eV per atom, in the order shown.